[1]
A plane-wave DFT calculation with GGA-PBE was carried out for a geometry-optimized Ac8Ru3Au2 structure.

```
13
Lattice="7.222 -4.378 0.000 7.222 4.378 0.000 -0.018 0.000 7.473" Properties=species:S:1:pos:R:3 pbc="T T T"
Ac 1.583 0.000 2.490
Ac 5.600 2.247 1.278
Ac 8.826 2.247 6.195
Ac 5.571 0.000 4.875
Ac 8.855 0.000 2.598
Ac 5.600 -2.247 1.278
Ac 8.826 -2.247 6.195
Ac 12.844 0.000 4.984
Ru 0.000 0.000 0.000
Ru 7.213 2.100 3.737
Ru 7.213 -2.100 3.737
Au 3.645 0.000 7.464
Au 10.781 0.000 0.009
```

* final energy: -5.514 eV/atom

---

[2]
A plane-wave DFT calculation with GGA-PBE was carried out for a geometry-optimized Ac6Ru2Au3 structure.

```
11
Lattice="-2.760 2.760 11.563 2.760 -2.760 11.563 2.760 2.760 -11.563" Properties=species:S:1:pos:R:3 pbc="T T T"
Ac 2.760 0.000 1.962
Ac 0.000 0.000 4.729
Ac 2.760 0.000 9.600
Ac 0.000 2.760 1.962
Ac 0.000 0.000 18.397
Ac 0.000 2.760 9.600
Ru 0.000 0.000 1.458
Ru 0.000 0.000 21.668
Au 0.000 0.000 7.766
Au 0.000 0.000 11.563
Au 0.000 0.000 15.360
```

* final energy: -5.184 eV/atom

---

[3]
A plane-wave DFT calculation with GGA-PBE was carried out for a geometry-optimized Ac7Ru2Au2 structure.

```
11
Lattice="6.115 -4.162 0.000 6.115 4.162 0.000 -0.049 0.000 7.487" Properties=species:S:1:pos:R:3 pbc="T T T"
Ac 0.000 0.000 0.000
Ac 3.058 2.080 1.926
Ac 6.063 0.000 5.608
Ac 9.123 2.080 5.561
Ac 3.058 -2.080 1.926
Ac 6.118 0.000 1.879
Ac 9.123 -2.080 5.561
Ru 3.702 0.000 0.001
Ru 8.479 0.000 7.486
Au 6.091 2.696 3.744
Au 6.091 -2.696 3.744
```

* final energy: -5.163 eV/atom

---

[4]
A plane-wave DFT calculation with GGA-PBE was carried out for a geometry-optimized Ac12Ru2Au5 structure.

```
19
Lattice="8.907 -4.173 0.000 8.907 4.173 0.000 -2.763 0.000 9.550" Properties=species:S:1:pos:R:3 pbc="T T T"
Ac -0.736 0.000 2.715
Ac 4.774 2.179 3.832
Ac 3.719 2.091 8.974
Ac 11.332 2.091 0.576
Ac 10.276 2.179 5.718
Ac 6.787 0.000 6.578
Ac 8.263 0.000 2.973
Ac 4.774 -2.179 3.832
Ac 3.719 -2.091 8.974
Ac 11.332 -2.091 0.576
Ac 10.276 -2.179 5.718
Ac 15.786 0.000 6.836
Ru 7.525 2.162 4.775
Ru 7.525 -2.162 4.775
Au 2.452 0.000 3.215
Au 1.306 0.000 8.256
Au 8.907 0.000 0.000
Au 13.744 0.000 1.294
Au 12.599 0.000 6.335
```

* final energy: -4.870 eV/atom

---

> What is the formula in the third record?

Ac7Ru2Au2

---

> Which formula does entry 2 have?

Ac6Ru2Au3

---

Repeat the fourth record exactly.
A plane-wave DFT calculation with GGA-PBE was carried out for a geometry-optimized Ac12Ru2Au5 structure.

```
19
Lattice="8.907 -4.173 0.000 8.907 4.173 0.000 -2.763 0.000 9.550" Properties=species:S:1:pos:R:3 pbc="T T T"
Ac -0.736 0.000 2.715
Ac 4.774 2.179 3.832
Ac 3.719 2.091 8.974
Ac 11.332 2.091 0.576
Ac 10.276 2.179 5.718
Ac 6.787 0.000 6.578
Ac 8.263 0.000 2.973
Ac 4.774 -2.179 3.832
Ac 3.719 -2.091 8.974
Ac 11.332 -2.091 0.576
Ac 10.276 -2.179 5.718
Ac 15.786 0.000 6.836
Ru 7.525 2.162 4.775
Ru 7.525 -2.162 4.775
Au 2.452 0.000 3.215
Au 1.306 0.000 8.256
Au 8.907 0.000 0.000
Au 13.744 0.000 1.294
Au 12.599 0.000 6.335
```

* final energy: -4.870 eV/atom